Entry from Alexandria: a geometry-optimized CrRu2Cl structure (PBE).

As for the uncorrected formation energy: 480 meV per atom. The value obtained for the density of states at the Fermi level is 0.9705 states/eV/atom. The size of the total moment comes out at 2.29 μB per formula unit. For the energy, the calculation gives -7.03 eV per atom. For the relative energy among the computed polymorphs, the calculation gives 0.733 eV/f.u.

Cell lengths 9.7646, 2.8585, 4.2642 Å; angles 90.00, 93.91, 90.00 degrees
With the nearest neighbours (Å) after each atom.
Space group C2/m (No. 12)
Symmetry-distinct sites (fractional):
1 Cr 0.0000 0.0000 0.0000 x2  4 Cl 2.57, 4 Ru 2.65, 2 Cr 2.86
2 Ru 0.2133 0.5000 0.2270 x4  1 Cl 2.45, 2 Ru 2.55, 2 Cr 2.65
3 Cl 0.0000 0.5000 0.5000 x2  2 Ru 2.45, 4 Cr 2.57